--- 1 ---
The following is a DFT calculation (PBE-GGA) of a relaxed PmSmY2 crystal.

## Properties
Its symmetry is No. 123.

abc: 3.608 3.608 10.181
angles: 90.00 90.00 90.00
Positions (direct):
Y: 0.000 0.000 0.749
Y: 0.000 0.000 0.251
Sm: 0.500 0.500 0.500
Pm: 0.500 0.500 0.000

--- 2 ---
The following is a DFT calculation (PBE-GGA) of a relaxed PmSmY2 crystal.

## Properties
Its symmetry is No. 225.

abc: 5.744 5.744 5.744
angles: 60.00 60.00 60.00
Positions (direct):
Y: 0.250 0.250 0.250
Y: 0.750 0.750 0.750
Sm: 0.500 0.500 0.500
Pm: 0.000 0.000 0.000

According to the calculations, the structures order from most to least stable as 1, 2.

--- 1 ---
The following is a DFT calculation (PBE-GGA) of a relaxed PmSmY2 crystal.

## Properties
Its symmetry is No. 123.

abc: 5.073 5.111 5.111
angles: 90.00 90.00 90.00
Positions (direct):
Y: 0.000 0.000 0.500
Y: 0.000 0.500 0.000
Sm: 0.500 0.000 0.000
Pm: 0.500 0.500 0.500

--- 2 ---
The following is a DFT calculation (PBE-GGA) of a relaxed PmSmY2 crystal.

## Properties
Its symmetry is No. 166.

abc: 3.608 3.608 11.888
angles: 81.27 81.27 60.00
Positions (direct):
Y: 0.750 0.750 0.751
Y: 0.250 0.250 0.249
Sm: 0.000 0.000 0.000
Pm: 0.500 0.500 0.500

According to the calculations, the structures order from most to least stable as 2, 1.

--- 1 ---
The following is a DFT calculation (PBE-GGA) of a relaxed PmSm4Y5 crystal.

## Properties
Its symmetry is No. 79.

abc: 6.291 7.980 7.980
angles: 81.06 66.79 66.79
Positions (direct):
Pm: 0.220 0.000 0.000
Sm: 0.405 0.398 0.697
Sm: 0.803 0.697 0.602
Sm: 0.102 0.303 0.398
Sm: 0.500 0.602 0.303
Y: 0.800 0.381 0.920
Y: 0.181 0.920 0.619
Y: 0.720 0.080 0.381
Y: 0.101 0.619 0.080
Y: 0.679 0.000 0.000

--- 2 ---
The following is a DFT calculation (PBE-GGA) of a relaxed PmSm4Y5 crystal.

## Properties
Its symmetry is No. 12.

abc: 3.565 11.108 8.887
angles: 90.03 101.57 90.03
Positions (direct):
Pm: 0.500 0.000 0.000
Sm: 0.652 0.250 0.305
Sm: 0.971 0.251 0.944
Sm: 0.348 0.750 0.695
Sm: 0.029 0.749 0.056
Y: 0.174 0.555 0.348
Y: 0.174 0.943 0.350
Y: 0.826 0.057 0.650
Y: 0.500 0.500 0.000
Y: 0.826 0.445 0.652

According to the calculations, the structures order from most to least stable as 2, 1.

--- 1 ---
The following is a DFT calculation (PBE-GGA) of a relaxed PmSm3Y6 crystal.

## Properties
Its symmetry is No. 36.

abc: 6.378 10.978 10.978
angles: 119.69 90.00 90.00
Positions (direct):
Pm: 0.143 0.198 0.802
Pm: 0.643 0.802 0.198
Sm: 0.457 0.937 0.712
Sm: 0.957 0.712 0.937
Sm: 0.069 0.388 0.612
Sm: 0.569 0.612 0.388
Sm: 0.957 0.063 0.288
Sm: 0.457 0.288 0.063
Y: 0.044 0.710 0.621
Y: 0.544 0.621 0.710
Y: 0.369 0.532 0.949
Y: 0.869 0.949 0.532
Y: 0.377 0.957 0.043
Y: 0.656 0.273 0.727
Y: 0.156 0.727 0.273
Y: 0.877 0.043 0.957
Y: 0.369 0.051 0.468
Y: 0.869 0.468 0.051
Y: 0.044 0.379 0.290
Y: 0.544 0.290 0.379

--- 2 ---
The following is a DFT calculation (PBE-GGA) of a relaxed PmSm3Y6 crystal.

## Properties
Its symmetry is No. 146.

abc: 9.971 9.971 6.946
angles: 44.13 44.13 60.00
Positions (direct):
Pm: 0.899 0.899 0.302
Sm: 0.399 0.399 0.803
Sm: 0.648 0.648 0.056
Sm: 0.149 0.149 0.553
Y: 0.901 0.573 0.298
Y: 0.228 0.901 0.298
Y: 0.573 0.228 0.298
Y: 0.073 0.401 0.798
Y: 0.728 0.073 0.798
Y: 0.401 0.728 0.798

According to the calculations, the structures order from most to least stable as 1, 2.

--- 1 ---
The following is a DFT calculation (PBE-GGA) of a relaxed Pm3Sm2Y4 crystal.

## Properties
Its symmetry is No. 12.

abc: 5.108 8.071 14.894
angles: 144.43 90.00 108.45
Positions (direct):
Pm: 0.555 0.109 0.666
Pm: 0.000 0.000 0.000
Pm: 0.445 0.891 0.334
Sm: 0.777 0.554 0.333
Sm: 0.223 0.446 0.667
Y: 0.667 0.334 0.000
Y: 0.333 0.666 0.000
Y: 0.889 0.779 0.667
Y: 0.111 0.221 0.333

--- 2 ---
The following is a DFT calculation (PBE-GGA) of a relaxed Pm3Sm2Y4 crystal.

## Properties
Its symmetry is No. 15.

abc: 6.159 11.403 11.403
angles: 61.82 62.80 62.80
Positions (direct):
Pm: 0.758 0.064 0.267
Pm: 0.742 0.733 0.936
Pm: 0.242 0.936 0.733
Pm: 0.258 0.267 0.064
Pm: 0.250 0.598 0.402
Pm: 0.750 0.402 0.598
Sm: 0.419 0.240 0.520
Sm: 0.081 0.480 0.760
Sm: 0.581 0.760 0.480
Sm: 0.919 0.520 0.240
Y: 0.421 0.910 0.186
Y: 0.079 0.814 0.090
Y: 0.579 0.090 0.814
Y: 0.921 0.186 0.910
Y: 0.080 0.149 0.420
Y: 0.420 0.580 0.851
Y: 0.920 0.851 0.580
Y: 0.580 0.420 0.149

According to the calculations, the structures order from most to least stable as 1, 2.

--- 1 ---
The following is a DFT calculation (PBE-GGA) of a relaxed Pm7Sm12Y crystal.

## Properties
Its symmetry is No. 148.

abc: 8.879 8.879 8.879
angles: 86.79 86.79 86.79
Positions (direct):
Pm: 0.849 0.604 0.924
Pm: 0.396 0.076 0.151
Pm: 0.076 0.151 0.396
Pm: 0.500 0.500 0.500
Pm: 0.924 0.849 0.604
Pm: 0.604 0.924 0.849
Pm: 0.151 0.396 0.076
Sm: 0.852 0.254 0.725
Sm: 0.746 0.275 0.148
Sm: 0.617 0.134 0.493
Sm: 0.866 0.507 0.383
Sm: 0.275 0.148 0.746
Sm: 0.507 0.383 0.866
Sm: 0.493 0.617 0.134
Sm: 0.725 0.852 0.254
Sm: 0.134 0.493 0.617
Sm: 0.383 0.866 0.507
Sm: 0.254 0.725 0.852
Sm: 0.148 0.746 0.275
Y: 0.000 0.000 0.000

--- 2 ---
The following is a DFT calculation (PBE-GGA) of a relaxed Pm7Sm12Y crystal.

## Properties
Its symmetry is No. 229.

abc: 9.970 9.970 9.970
angles: 109.47 109.47 109.47
Positions (direct):
Pm: 0.500 0.500 0.000
Pm: 0.000 0.500 0.500
Pm: 0.500 0.000 0.500
Pm: 0.500 0.500 0.500
Pm: 0.000 0.000 0.500
Pm: 0.500 0.000 0.000
Pm: 0.000 0.500 0.000
Sm: 0.503 0.751 0.752
Sm: 0.000 0.751 0.248
Sm: 0.497 0.249 0.248
Sm: 0.000 0.249 0.752
Sm: 0.752 0.000 0.249
Sm: 0.752 0.503 0.751
Sm: 0.248 0.000 0.751
Sm: 0.248 0.497 0.249
Sm: 0.751 0.752 0.503
Sm: 0.249 0.248 0.497
Sm: 0.751 0.248 0.000
Sm: 0.249 0.752 0.000
Y: 0.000 0.000 0.000

According to the calculations, the structures order from most to least stable as 1, 2.

--- 1 ---
The following is a DFT calculation (PBE-GGA) of a relaxed Pm6Sm3Y2 crystal.

## Properties
Its symmetry is No. 166.

abc: 3.632 3.632 32.624
angles: 86.81 86.81 60.00
Positions (direct):
Pm: 0.909 0.909 0.274
Pm: 0.091 0.091 0.726
Pm: 0.818 0.818 0.546
Pm: 0.182 0.182 0.454
Pm: 0.636 0.636 0.091
Pm: 0.364 0.364 0.909
Sm: 0.000 0.000 0.000
Sm: 0.728 0.728 0.817
Sm: 0.272 0.272 0.183
Y: 0.545 0.545 0.364
Y: 0.455 0.455 0.636

--- 2 ---
The following is a DFT calculation (PBE-GGA) of a relaxed Pm6Sm3Y2 crystal.

## Properties
Its symmetry is No. 139.

abc: 4.800 4.800 17.327
angles: 97.96 97.96 90.00
Positions (direct):
Pm: 0.121 0.621 0.242
Pm: 0.621 0.121 0.242
Pm: 0.879 0.379 0.758
Pm: 0.379 0.879 0.758
Pm: 0.701 0.701 0.402
Pm: 0.299 0.299 0.598
Sm: 0.000 0.000 0.000
Sm: 0.802 0.802 0.604
Sm: 0.198 0.198 0.396
Y: 0.454 0.454 0.909
Y: 0.546 0.546 0.091

According to the calculations, the structures order from most to least stable as 1, 2.

--- 1 ---
The following is a DFT calculation (PBE-GGA) of a relaxed PmSmY3 crystal.

## Properties
Its symmetry is No. 11.

abc: 3.668 8.489 11.681
angles: 90.00 90.00 101.36
Positions (direct):
Pm: 0.358 0.137 0.250
Pm: 0.642 0.863 0.750
Sm: 0.109 0.482 0.250
Sm: 0.891 0.518 0.750
Y: 0.832 0.194 0.000
Y: 0.168 0.806 0.000
Y: 0.832 0.194 0.500
Y: 0.168 0.806 0.500
Y: 0.710 0.817 0.250
Y: 0.290 0.183 0.750

--- 2 ---
The following is a DFT calculation (PBE-GGA) of a relaxed PmSmY3 crystal.

## Properties
Its symmetry is No. 12.

abc: 5.088 6.233 11.371
angles: 90.18 90.00 114.09
Positions (direct):
Pm: 0.350 0.699 0.550
Pm: 0.650 0.301 0.450
Sm: 0.150 0.300 0.950
Sm: 0.850 0.700 0.050
Y: 0.750 0.499 0.751
Y: 0.250 0.501 0.249
Y: 0.450 0.900 0.851
Y: 0.550 0.100 0.149
Y: 0.951 0.901 0.350
Y: 0.049 0.099 0.650

According to the calculations, the structures order from most to least stable as 2, 1.